1.
A relaxed MnInRe2 crystal, computed with PBE.

Unit cell a=4.984 b=4.984 c=4.984 alpha=134.56 beta=134.56 gamma=66.22
Sites, in units of the cell vectors:
Mn  0.000  0.000  0.000
In  0.500  0.500  0.000
Re  0.250  0.750  0.500
Re  0.750  0.250  0.500

## Properties
SG: No. 139
Energy of formation from the pure elements in eV per atom: 0.438
Size of the total moment in μB/cell: 1.5
Fermi-level density of states in states/eV/cell: 2.8

=====

2.
A relaxed MnIn4Re crystal, computed with PBE.

Unit cell a=5.656 b=5.656 c=5.656 alpha=60.00 beta=60.00 gamma=60.00
Sites, in units of the cell vectors:
Mn  0.000  0.000  0.000
In  0.375  0.375  0.375
In  0.375  0.375  0.874
In  0.375  0.874  0.375
In  0.874  0.375  0.375
Re  0.750  0.750  0.750

## Properties
SG: No. 216
Energy of formation from the pure elements in eV per atom: 0.981
Size of the total moment in μB/cell: 5.3
Fermi-level density of states in states/eV/cell: 3.8

=====

3.
A relaxed Mn2InRe crystal, computed with PBE.

Unit cell a=5.222 b=5.222 c=5.222 alpha=146.70 beta=129.54 gamma=61.81
Sites, in units of the cell vectors:
Mn  0.000  0.000  0.000
Mn  0.763  0.263  0.500
In  0.499  0.499  0.000
Re  0.226  0.726  0.500

## Properties
SG: No. 44
Energy of formation from the pure elements in eV per atom: 0.323
Size of the total moment in μB/cell: 4.3
Fermi-level density of states in states/eV/cell: 3.2

=====

4.
A relaxed Mn2InRe crystal, computed with PBE.

Unit cell a=4.572 b=4.572 c=5.072 alpha=97.88 beta=97.88 gamma=36.70
Sites, in units of the cell vectors:
Mn  0.247  0.247  0.219
Mn  0.753  0.753  0.781
In  0.000  0.000  0.500
Re  0.500  0.500  0.000

## Properties
SG: No. 12
Energy of formation from the pure elements in eV per atom: 0.415
Size of the total moment in μB/cell: 5.4
Fermi-level density of states in states/eV/cell: 3.7

=====

5.
A relaxed MnInRe2 crystal, computed with PBE.

Unit cell a=9.179 b=9.179 c=9.179 alpha=17.60 beta=17.60 gamma=17.60
Sites, in units of the cell vectors:
Mn  0.000  0.000  0.000
In  0.500  0.500  0.500
Re  0.259  0.259  0.259
Re  0.741  0.741  0.741

## Properties
SG: No. 166
Energy of formation from the pure elements in eV per atom: 0.406
Size of the total moment in μB/cell: 0.8
Fermi-level density of states in states/eV/cell: 2.4

=====

6.
A relaxed MnInRe crystal, computed with PBE.

Unit cell a=4.190 b=4.190 c=4.190 alpha=60.00 beta=60.00 gamma=60.00
Sites, in units of the cell vectors:
Mn  0.000  0.000  0.000
In  0.750  0.750  0.750
Re  0.250  0.250  0.250

## Properties
SG: No. 216
Energy of formation from the pure elements in eV per atom: 0.550
Size of the total moment in μB/cell: 1.0
Fermi-level density of states in states/eV/cell: 2.0

=====

7.
A relaxed Mn2InRe crystal, computed with PBE.

Unit cell a=4.403 b=4.403 c=4.403 alpha=60.00 beta=60.00 gamma=60.00
Sites, in units of the cell vectors:
Mn  0.000  0.000  0.000
Mn  0.250  0.250  0.250
In  0.750  0.750  0.750
Re  0.500  0.500  0.500

## Properties
SG: No. 216
Energy of formation from the pure elements in eV per atom: 0.414
Size of the total moment in μB/cell: 4.5
Fermi-level density of states in states/eV/cell: 3.3

=====

8.
A relaxed Mn2InRe crystal, computed with PBE.

Unit cell a=8.885 b=8.885 c=8.885 alpha=18.50 beta=18.50 gamma=18.50
Sites, in units of the cell vectors:
Mn  0.000  0.000  0.000
Mn  0.258  0.258  0.258
In  0.500  0.500  0.500
Re  0.739  0.739  0.739

## Properties
SG: No. 160
Energy of formation from the pure elements in eV per atom: 0.417
Size of the total moment in μB/cell: 4.3
Fermi-level density of states in states/eV/cell: 1.9

=====

9.
A relaxed MnInRe crystal, computed with PBE.

Unit cell a=2.848 b=2.848 c=6.683 alpha=90.00 beta=90.00 gamma=120.00
Sites, in units of the cell vectors:
Mn  0.000  0.000  0.000
In  0.667  0.333  0.657
Re  0.333  0.667  0.282

## Properties
SG: No. 156
Energy of formation from the pure elements in eV per atom: 0.428
Size of the total moment in μB/cell: 0.4
Fermi-level density of states in states/eV/cell: 2.5

=====

10.
A relaxed MnInRe2 crystal, computed with PBE.

Unit cell a=5.754 b=5.754 c=5.754 alpha=101.31 beta=101.31 gamma=127.44
Sites, in units of the cell vectors:
Mn  0.000  0.000  0.000
Mn  0.750  0.250  0.500
In  0.250  0.750  0.500
In  0.500  0.500  0.000
Re  0.057  0.625  0.932
Re  0.375  0.307  0.432
Re  0.693  0.125  0.068
Re  0.875  0.943  0.568

## Properties
SG: No. 122
Energy of formation from the pure elements in eV per atom: 0.813
Size of the total moment in μB/cell: 0.0
Fermi-level density of states in states/eV/cell: 11.1

=====

11.
A relaxed MnInRe2 crystal, computed with PBE.

Unit cell a=5.321 b=5.321 c=2.744 alpha=100.65 beta=100.65 gamma=118.70
Sites, in units of the cell vectors:
Mn  0.000  0.000  0.000
In  0.500  0.500  0.000
Re  0.000  0.500  0.500
Re  0.500  0.000  0.500

## Properties
SG: No. 12
Energy of formation from the pure elements in eV per atom: 0.503
Size of the total moment in μB/cell: 3.1
Fermi-level density of states in states/eV/cell: 3.2

=====

12.
A relaxed MnInRe2 crystal, computed with PBE.

Unit cell a=2.763 b=2.763 c=8.951 alpha=90.00 beta=90.00 gamma=112.58
Sites, in units of the cell vectors:
Mn  0.000  0.000  0.000
In  0.000  0.000  0.500
Re  0.500  0.500  0.225
Re  0.500  0.500  0.775

## Properties
SG: No. 65
Energy of formation from the pure elements in eV per atom: 0.467
Size of the total moment in μB/cell: 1.9
Fermi-level density of states in states/eV/cell: 2.8

=====

13.
A relaxed MnInRe2 crystal, computed with PBE.

Unit cell a=4.909 b=4.909 c=2.886 alpha=90.00 beta=90.00 gamma=114.04
Sites, in units of the cell vectors:
Mn  0.000  0.000  0.000
In  0.500  0.500  0.000
Re  0.000  0.500  0.500
Re  0.500  0.000  0.500

## Properties
SG: No. 65
Energy of formation from the pure elements in eV per atom: 0.568
Size of the total moment in μB/cell: 2.5
Fermi-level density of states in states/eV/cell: 3.4

=====

14.
A relaxed Mn4InRe crystal, computed with PBE.

Unit cell a=4.804 b=4.804 c=4.804 alpha=60.00 beta=60.00 gamma=60.00
Sites, in units of the cell vectors:
Mn  0.125  0.125  0.125
Mn  0.125  0.125  0.626
Mn  0.125  0.626  0.125
Mn  0.626  0.125  0.125
In  0.500  0.500  0.500
Re  0.750  0.750  0.750

## Properties
SG: No. 216
Energy of formation from the pure elements in eV per atom: 0.195
Size of the total moment in μB/cell: 4.5
Fermi-level density of states in states/eV/cell: 7.2

=====

15.
A relaxed MnInRe crystal, computed with PBE.

Unit cell a=7.075 b=6.849 c=2.837 alpha=82.75 beta=73.81 gamma=23.44
Sites, in units of the cell vectors:
Mn  0.000  0.000  0.000
In  0.326  0.326  0.674
Re  0.643  0.643  0.357

## Properties
SG: No. 42
Energy of formation from the pure elements in eV per atom: 0.431
Size of the total moment in μB/cell: 2.6
Fermi-level density of states in states/eV/cell: 2.3

=====

16.
A relaxed MnInRe2 crystal, computed with PBE.

Unit cell a=4.480 b=4.480 c=4.480 alpha=60.00 beta=60.00 gamma=60.00
Sites, in units of the cell vectors:
Mn  0.000  0.000  0.000
In  0.250  0.250  0.250
Re  0.500  0.500  0.500
Re  0.750  0.750  0.750

## Properties
SG: No. 216
Energy of formation from the pure elements in eV per atom: 0.454
Size of the total moment in μB/cell: 3.7
Fermi-level density of states in states/eV/cell: 3.9

=====

17.
A relaxed MnInRe2 crystal, computed with PBE.

Unit cell a=2.886 b=3.884 c=5.732 alpha=90.00 beta=90.26 gamma=90.00
Sites, in units of the cell vectors:
Mn  0.000  0.000  0.000
In  0.502  0.500  0.258
Re  0.008  0.000  0.557
Re  0.490  0.500  0.759

## Properties
SG: No. 6
Energy of formation from the pure elements in eV per atom: 0.307
Size of the total moment in μB/cell: 3.1
Fermi-level density of states in states/eV/cell: 3.3

=====

18.
A relaxed Mn2InRe crystal, computed with PBE.

Unit cell a=4.605 b=4.605 c=2.893 alpha=90.00 beta=90.00 gamma=104.32
Sites, in units of the cell vectors:
Mn  0.000  0.500  0.000
Mn  0.500  0.000  0.000
In  0.000  0.000  0.500
Re  0.500  0.500  0.500

## Properties
SG: No. 65
Energy of formation from the pure elements in eV per atom: 0.324
Size of the total moment in μB/cell: 4.6
Fermi-level density of states in states/eV/cell: 4.6

=====

19.
A relaxed MnInRe2 crystal, computed with PBE.

Unit cell a=5.149 b=5.149 c=5.149 alpha=143.41 beta=128.50 gamma=64.83
Sites, in units of the cell vectors:
Mn  0.000  0.000  0.000
In  0.745  0.245  0.500
Re  0.239  0.739  0.500
Re  0.477  0.477  0.000

## Properties
SG: No. 44
Energy of formation from the pure elements in eV per atom: 0.416
Size of the total moment in μB/cell: 2.5
Fermi-level density of states in states/eV/cell: 3.4

=====

20.
A relaxed Mn2InRe crystal, computed with PBE.

Unit cell a=4.615 b=4.615 c=4.615 alpha=127.99 beta=127.99 gamma=76.64
Sites, in units of the cell vectors:
Mn  0.250  0.750  0.500
Mn  0.750  0.250  0.500
In  0.000  0.000  0.000
Re  0.500  0.500  0.000

## Properties
SG: No. 139
Energy of formation from the pure elements in eV per atom: 0.364
Size of the total moment in μB/cell: 4.4
Fermi-level density of states in states/eV/cell: 4.5